Record 1
First-principles (PBE-GGA) data for a relaxed structure of TcSeBr2Cl, as listed in Alexandria via LeMat-Bulk.

Structure (POSCAR):
```
TcSeBr2Cl
1.0
5.1061 0.0000 0.0000
0.0000 5.1061 0.0000
0.0000 0.0000 4.7853
Se Tc Br Cl
1 1 2 1
Direct
0.0000 0.0000 0.5000
0.0000 0.0000 0.0000
0.0000 0.5000 0.0000
0.5000 0.0000 0.0000
0.5000 0.5000 0.5000
```

Calculated values
As for the formation energy (no corrections): 0.19 eV per atom. The energy relative to the lowest polymorph listed for this composition is 0 meV/atom. Its magnetization is 0.85 μB/cell. The value obtained for the density of states at the Fermi level is 4.74 states/eV per cell.

---

Record 2
First-principles (PBE-GGA) data for a relaxed structure of Pr4Sm4Mg, as listed in Alexandria via LeMat-Bulk.

Structure (POSCAR):
```
Pr4Sm4Mg
1.0
7.2477 0.5210 0.5845
-0.4127 8.5555 -2.8583
1.2057 -3.4713 11.0503
Pr Sm Mg
8 8 2
Direct
0.2198 0.9874 0.6494
0.1214 0.6811 0.0115
0.7062 0.9836 0.6448
0.0860 0.1649 0.1691
0.9140 0.8351 0.8309
0.2938 0.0164 0.3552
0.8786 0.3189 0.9885
0.7802 0.0126 0.3506
0.4190 0.8344 0.8328
0.0497 0.6430 0.3114
0.2517 0.5022 0.5002
0.3784 0.3182 0.9848
0.7483 0.4978 0.4998
0.6216 0.6818 0.0152
0.5810 0.1656 0.1672
0.9503 0.3570 0.6886
0.4557 0.3559 0.6848
0.5443 0.6441 0.3152
```

Calculated values
The calculation puts the energy relative to the elements at 0.01 eV/atom. Its magnetization is 0.00 μB/cell. The value obtained for the density of states at the Fermi level is 22.73 states/eV per cell.

---

Record 3
First-principles (PBE-GGA) data for a relaxed structure of LiSm2Cu12Ni3, as listed in Alexandria via LeMat-Bulk.

Structure (POSCAR):
```
LiSm2Cu12Ni3
1.0
-1.0461 -6.0664 -1.6128
5.4310 -2.3531 2.3375
-2.3419 -1.8826 5.6096
Li Sm Cu Ni
1 2 12 3
Direct
0.0000 0.0000 0.0000
0.7480 0.7480 0.7480
0.2520 0.2520 0.2520
0.4250 0.4250 0.8470
0.8032 0.8032 0.2728
0.2728 0.8032 0.8032
0.8470 0.4250 0.4250
0.8032 0.2728 0.8032
0.4250 0.8470 0.4250
0.5750 0.5750 0.1530
0.1968 0.1968 0.7272
0.7272 0.1968 0.1968
0.1530 0.5750 0.5750
0.1968 0.7272 0.1968
0.5750 0.1530 0.5750
0.5000 0.0000 0.0000
0.0000 0.5000 0.0000
0.0000 0.0000 0.5000
```

Calculated values
The calculation puts the energy relative to the elements at 0.03 eV/atom. Its magnetization is 0.00 μB/cell. The value obtained for the density of states at the Fermi level is 7.30 states/eV per cell.

---

Record 4
First-principles (PBE-GGA) data for a relaxed structure of CsCr2OsW, as listed in Alexandria via LeMat-Bulk.

Structure (POSCAR):
```
CsCr2OsW
1.0
4.7349 0.0000 0.0000
0.0000 5.6067 0.0000
0.0000 0.0000 4.7349
Cs Cr Os W
1 2 1 1
Direct
0.0000 0.5000 0.0000
0.0000 0.0000 0.5000
0.5000 0.0000 0.0000
0.5000 0.5000 0.5000
0.0000 0.0000 0.0000
```

Calculated values
The calculation puts the energy relative to the elements at 2.76 eV/atom. Its magnetization is 6.89 μB/cell. The value obtained for the density of states at the Fermi level is 5.21 states/eV per cell.